## CaPr2NdSb4 (PBE)

Data for CaPr2NdSb4 after structural relaxation.

The spin magnetization comes out at 0.00 μB/cell. The final energy is -0.190 hartree per atom.

Lattice parameters (Å, degrees): 7.875 4.541 7.891 90.00 109.43 90.00
Fractional coordinates of all 8 atoms:
1 Ca 0.000 0.000 0.000
2 Pr 0.500 0.000 0.500
3 Pr 0.500 0.500 0.000
4 Nd 0.000 0.500 0.500
5 Sb 0.248 0.000 0.749
6 Sb 0.249 0.500 0.251
7 Sb 0.751 0.500 0.749
8 Sb 0.752 0.000 0.251


## Tb3HgH (PBE)

Data for Tb3HgH after structural relaxation.

The spin magnetization comes out at 1.63 μB/cell. Its offset from the most stable computed form is 93 meV/atom.

Lattice parameters (Å, degrees): 4.836 4.836 4.836 90.00 90.00 90.00
Fractional coordinates of all 5 atoms:
1 Tb 0.000 0.000 0.500
2 Tb 0.000 0.500 0.000
3 Tb 0.500 0.000 0.000
4 Hg 0.500 0.500 0.500
5 H 0.000 0.000 0.000


## TmPaNi3 (PBE)

Data for TmPaNi3 after structural relaxation.

For the formation energy, the calculation gives -415 meV/atom. The spin magnetization comes out at 0.00 μB/cell.

Lattice parameters (Å, degrees): 12.391 12.391 4.057 90.00 90.00 163.51
Fractional coordinates of all 10 atoms:
1 Tm 0.069 0.931 0.750
2 Tm 0.931 0.069 0.250
3 Pa 0.199 0.801 0.250
4 Pa 0.801 0.199 0.750
5 Ni 0.317 0.683 0.250
6 Ni 0.381 0.619 0.750
7 Ni 0.476 0.524 0.750
8 Ni 0.524 0.476 0.250
9 Ni 0.619 0.381 0.250
10 Ni 0.683 0.317 0.750


## Ca8Bi5S (PBE)

Data for Ca8Bi5S after structural relaxation.

The spin magnetization comes out at 0.00 μB/cell. The final energy is -0.140 hartree per atom.

Lattice parameters (Å, degrees): 8.295 8.295 8.295 110.28 110.28 107.86
Fractional coordinates of all 14 atoms:
1 Ca 0.019 0.655 0.762
2 Ca 0.231 0.488 0.097
3 Ca 0.345 0.107 0.364
4 Ca 0.390 0.134 0.903
5 Ca 0.512 0.610 0.744
6 Ca 0.743 0.981 0.636
7 Ca 0.866 0.769 0.256
8 Ca 0.893 0.257 0.238
9 Bi 0.119 0.242 0.625
10 Bi 0.250 0.750 0.500
11 Bi 0.506 0.881 0.123
12 Bi 0.617 0.494 0.375
13 Bi 0.758 0.383 0.877
14 S 0.000 0.000 0.000